# Tb3PmC8

Crystalline Tb3PmC8 at its relaxed geometry (PBE, Alexandria via LeMat-Bulk).

## Properties
* energy of formation: 0.13 eV per atom
* density of states at the Fermi level: 4.7 states/eV/f.u.
* space group: Fmm2
* V: 15.76 A^3/atom

```
12
Lattice="0.0000 4.8654 4.0122 4.8437 0.0000 4.0122 4.8437 4.8654 0.0000" Properties=species:S:1:pos:R:3 pbc="T T T"
Tb 0.0000 0.0000 0.0000
Tb 2.4219 2.4327 2.0311
Tb 7.2656 7.2980 6.0433
Pm 4.8437 4.8654 4.0150
C 6.4652 4.8654 1.9615
C 7.3451 4.8654 2.9154
C 4.8437 2.3627 5.1012
C 3.2222 4.8654 1.9615
C 4.8437 3.2412 6.0582
C 2.3423 4.8654 2.9154
C 4.8437 7.3680 5.1012
C 4.8437 6.4896 6.0582
```